No. 1
AcCuP2Pt4: relaxed, PBE.

extended XYZ file:
```
8
Lattice="4.334 0.000 0.000 0.000 4.334 0.000 0.000 0.000 7.885" Properties=species:S:1:pos:R:3 pbc="T T T"
Ac 0.000 0.000 0.000
Cu 0.000 0.000 3.943
P 2.167 2.167 1.525
P 2.167 2.167 6.361
Pt 0.000 2.167 2.509
Pt 0.000 2.167 5.376
Pt 2.167 0.000 2.509
Pt 2.167 0.000 5.376
```

Results
- electronic total energy (eV per cell) = -48.00
- formation enthalpy at 0 K (eV per formula unit) = -4.82
- V (Å³/cell) = 148.10

No. 2
SrAsRu2: relaxed, PBE.

extended XYZ file:
```
4
Lattice="3.016 0.000 0.000 0.000 3.593 0.000 0.000 0.000 7.104" Properties=species:S:1:pos:R:3 pbc="T T T"
Sr 0.000 0.000 0.000
As 1.508 1.797 2.273
Ru 0.000 0.000 3.541
Ru 1.508 1.797 4.815
```

Results
- electronic total energy (eV per cell) = -24.32
- formation enthalpy at 0 K (eV per formula unit) = 0.57
- V (Å³/cell) = 76.99

No. 3
Pr2Al3GeAu4: relaxed, PBE.

extended XYZ file:
```
10
Lattice="4.476 0.000 0.000 0.000 4.476 0.000 0.000 0.000 10.427" Properties=species:S:1:pos:R:3 pbc="T T T"
Pr 0.000 2.238 2.600
Pr 2.238 0.000 7.827
Al 0.000 0.000 0.000
Al 0.000 2.238 6.540
Al 2.238 0.000 3.888
Ge 2.238 2.238 0.000
Au 0.000 0.000 5.214
Au 0.000 2.238 9.055
Au 2.238 0.000 1.372
Au 2.238 2.238 5.214
```

Results
- electronic total energy (eV per cell) = -45.40
- formation enthalpy at 0 K (eV per formula unit) = -6.88
- V (Å³/cell) = 208.92

No. 4
CdPt3Au7: relaxed, PBE.

extended XYZ file:
```
11
Lattice="5.816 0.000 0.000 -2.908 5.037 0.000 0.000 0.000 6.936" Properties=species:S:1:pos:R:3 pbc="T T T"
Cd 0.000 0.000 0.000
Pt 0.000 1.692 4.685
Pt -1.443 4.191 4.685
Pt 1.443 4.191 4.685
Au 0.000 3.358 2.402
Au 1.477 0.853 2.446
Au 2.908 0.029 6.931
Au 1.479 2.504 6.931
Au 4.339 0.853 2.446
Au 2.908 3.332 2.446
Au 4.337 2.504 6.931
```

Results
- electronic total energy (eV per cell) = -41.52
- formation enthalpy at 0 K (eV per formula unit) = 0.46
- V (Å³/cell) = 203.20

No. 5
MgZn3Au2: relaxed, PBE.

extended XYZ file:
```
6
Lattice="2.045 -6.058 0.000 2.045 6.058 0.000 0.000 0.000 3.982" Properties=species:S:1:pos:R:3 pbc="T T T"
Mg 0.000 0.000 0.000
Zn 2.045 3.979 1.991
Zn 2.045 0.000 1.991
Zn 2.045 -3.979 1.991
Au 2.045 1.933 0.000
Au 2.045 -1.933 0.000
```

Results
- electronic total energy (eV per cell) = -13.36
- formation enthalpy at 0 K (eV per formula unit) = -1.39
- V (Å³/cell) = 98.66

No. 6
PmYBeRu: relaxed, PBE.

extended XYZ file:
```
4
Lattice="0.000 3.469 3.469 3.469 0.000 3.469 3.469 3.469 0.000" Properties=species:S:1:pos:R:3 pbc="T T T"
Pm 0.000 0.000 0.000
Y 3.469 3.469 3.469
Be 5.203 5.203 5.203
Ru 1.734 1.734 1.734
```

Results
- electronic total energy (eV per cell) = -24.44
- formation enthalpy at 0 K (eV per formula unit) = -0.22
- V (Å³/cell) = 83.46

No. 7
Y2MoP: relaxed, PBE.

extended XYZ file:
```
4
Lattice="4.056 0.000 0.000 0.000 2.026 5.381 0.000 -2.026 5.381" Properties=species:S:1:pos:R:3 pbc="T T T"
Y 0.000 0.000 0.000
Y 2.028 0.000 3.058
Mo 2.028 0.000 6.160
P 0.000 0.000 7.606
```

Results
- electronic total energy (eV per cell) = -31.13
- formation enthalpy at 0 K (eV per formula unit) = -1.96
- V (Å³/cell) = 88.46

No. 8
CaCuRe2: relaxed, PBE.

extended XYZ file:
```
4
Lattice="2.685 -4.917 0.000 2.685 4.917 0.000 -0.956 0.000 2.499" Properties=species:S:1:pos:R:3 pbc="T T T"
Ca 0.000 0.000 0.000
Cu 2.685 0.000 0.000
Re 0.865 2.458 1.249
Re 0.865 -2.458 1.249
```

Results
- electronic total energy (eV per cell) = -28.57
- formation enthalpy at 0 K (eV per formula unit) = 2.42
- V (Å³/cell) = 65.98
- offset from the most stable computed form (meV per atom) = 323